No. 1
# TeN, relaxed, DFT PBE
data_TeN
_space_group_name_H-M_alt 'P 1 21/m 1'
_space_group_IT_number 11
_space_group_name_Hall '-P 2yb'
_cell_length_a 3.875
_cell_length_b 3.180
_cell_length_c 6.284
_cell_angle_alpha 90.00
_cell_angle_beta 90.05
_cell_angle_gamma 90.00
loop_
_atom_site_label
_atom_site_type_symbol
_atom_site_fract_x
_atom_site_fract_y
_atom_site_fract_z
Te1 Te 0.199 0.250 0.251
N1 N 0.473 0.250 0.750
# formation energy from raw total energies	2.09	eV per formula unit

No. 2
# TeN, relaxed, DFT PBE
data_TeN
_space_group_name_H-M_alt 'P -1'
_space_group_IT_number 2
_space_group_name_Hall '-P 1'
_cell_length_a 4.186
_cell_length_b 4.401
_cell_length_c 5.387
_cell_angle_alpha 90.20
_cell_angle_beta 112.80
_cell_angle_gamma 91.01
loop_
_atom_site_label
_atom_site_type_symbol
_atom_site_fract_x
_atom_site_fract_y
_atom_site_fract_z
Te1 Te 0.143 0.330 0.292
N1 N 0.326 0.548 0.650
# formation energy from raw total energies	1.76	eV per formula unit

No. 3
# TeN, relaxed, DFT PBE
data_TeN
_space_group_name_H-M_alt 'P 63/m'
_space_group_IT_number 176
_space_group_name_Hall '-P 6c'
_cell_length_a 9.9307
_cell_length_b 9.9307
_cell_length_c 3.0975
_cell_angle_alpha 90.00
_cell_angle_beta 90.00
_cell_angle_gamma 120.00
loop_
_atom_site_label
_atom_site_type_symbol
_atom_site_fract_x
_atom_site_fract_y
_atom_site_fract_z
Te1 Te 0.1608 0.7501 0.2500
N1 N 0.0111 0.3009 0.2500
# formation energy from raw total energies	2.09	eV per formula unit

What is the formation energy from raw total energies in the second record?
1.76 eV per formula unit

Which of these has the lowest formation energy from raw total energies?
number 2